# AlTc (GGA-PBE, relaxed)
data_AlTc
_chemical_formula_sum 'Al6 Tc6'
_symmetry_space_group_name_H-M 'R -3 m'
_symmetry_Int_Tables_number 166
_symmetry_space_group_name_Hall '-R 3 2"'
_cell_length_a 4.2703
_cell_length_b 4.2703
_cell_length_c 12.4850
_cell_angle_alpha 90.00
_cell_angle_beta 90.00
_cell_angle_gamma 120.00
loop_
_atom_site_label
_atom_site_fract_x
_atom_site_fract_y
_atom_site_fract_z
Al1 0.0000 0.0000 0.1108
Tc1 0.0000 0.0000 0.3199
# Excess energy over the best structure of this formula in the dataset   0.528 eV/f.u.
# Formation energy   -29 kJ/mol of formula units
# Crystal system   trigonal

# VTe3S (GGA-PBE, relaxed)
data_VTe3S
_chemical_formula_sum 'V1 Te3 S1'
_symmetry_space_group_name_H-M 'P m -3 m'
_symmetry_Int_Tables_number 221
_symmetry_space_group_name_Hall '-P 4 2 3'
_cell_length_a 5.100
_cell_length_b 5.100
_cell_length_c 5.100
_cell_angle_alpha 90.00
_cell_angle_beta 90.00
_cell_angle_gamma 90.00
loop_
_atom_site_label
_atom_site_fract_x
_atom_site_fract_y
_atom_site_fract_z
V1 0.000 0.000 0.000
Te1 0.000 0.000 0.500
S1 0.500 0.500 0.500
# Excess energy over the best structure of this formula in the dataset   0.000 eV/f.u.
# Crystal system   cubic
# ΔE_f (raw)   198 kJ/mol of formula units